1.
{
  "formula": "CuSBrO",
  "functional": "PBE",
  "state": "optimized geometry",
  "cell": [[3.982, 0.000, 0.000], [0.189, 6.110, 0.000], [1.880, 2.934, 7.002]],
  "species": ["Cu", "Cu", "S", "S", "Br", "Br", "O", "O"],
  "frac_coords": [[0.000, 0.000, 0.000], [0.427, 0.363, 0.184], [0.144, 0.319, 0.703], [0.932, 0.205, 0.191], [0.523, 0.783, 0.975], [0.782, 0.850, 0.440], [0.244, 0.243, 0.542], [0.412, 0.457, 0.727]],
  "n_ef_per_ev_cell": 0.0,
  "m_tot_mub_per_fu": 0.0,
  "crystal_system": "triclinic",
  "e_form_raw_ev_per_atom": -0.4490,
  "relative_energy_ev_per_fu": 0.07
}

---

2.
{
  "formula": "K2USbTe4",
  "functional": "PBE",
  "state": "optimized geometry",
  "cell": [[7.969, 0.000, 0.000], [0.000, 4.600, 0.000], [-2.632, 0.000, 8.157]],
  "species": ["K", "K", "U", "Sb", "Te", "Te", "Te", "Te"],
  "frac_coords": [[0.000, 0.000, 0.000], [0.500, 0.500, 0.000], [0.000, 0.500, 0.500], [0.500, 0.000, 0.500], [0.238, 0.000, 0.708], [0.267, 0.500, 0.295], [0.733, 0.500, 0.705], [0.762, 0.000, 0.292]],
  "n_ef_per_ev_cell": 5.2,
  "m_tot_mub_per_fu": 2.9,
  "crystal_system": "monoclinic",
  "e_form_raw_ev_per_atom": -0.6750
}

---

3.
{
  "formula": "TcRhN",
  "functional": "PBE",
  "state": "optimized geometry",
  "cell": [[1.383, 0.799, 5.519], [-1.383, 0.799, 5.519], [0.000, -1.597, 5.519]],
  "species": ["Tc", "Rh", "N"],
  "frac_coords": [[0.000, 0.000, 0.000], [0.530, 0.530, 0.530], [0.410, 0.410, 0.410]],
  "n_ef_per_ev_cell": 2.7,
  "m_tot_mub_per_fu": 0.0,
  "crystal_system": "trigonal",
  "e_form_raw_ev_per_atom": 0.1015,
  "relative_energy_ev_per_fu": 0.32
}

---

4.
{
  "formula": "Nb2MoW3",
  "functional": "PBE",
  "state": "optimized geometry",
  "cell": [[-2.277, 3.215, 6.835], [2.277, -3.215, 6.835], [2.277, 3.215, -6.835]],
  "species": ["Nb", "Nb", "Nb", "Nb", "Mo", "Mo", "W", "W", "W", "W", "W", "W"],
  "frac_coords": [[0.250, 0.000, 0.250], [0.417, 0.667, 0.750], [0.583, 0.333, 0.250], [0.750, 0.000, 0.750], [0.083, 0.333, 0.750], [0.917, 0.667, 0.250], [0.000, 0.500, 0.500], [0.164, 0.168, 0.996], [0.328, 0.832, 0.496], [0.500, 0.500, 0.000], [0.672, 0.168, 0.504], [0.836, 0.832, 0.004]],
  "n_ef_per_ev_cell": 5.3,
  "m_tot_mub_per_fu": 0.0,
  "crystal_system": "orthorhombic",
  "relative_energy_ev_per_fu": 0.00,
  "delta_e_f_ev_per_atom": -0.063
}

---

5.
{
  "formula": "Sc2P2W",
  "functional": "PBE",
  "state": "optimized geometry",
  "cell": [[6.513, 0.000, 0.000], [0.000, 6.513, 0.000], [0.000, 0.000, 3.769]],
  "species": ["Sc", "Sc", "Sc", "Sc", "P", "P", "P", "P", "W", "W"],
  "frac_coords": [[0.171, 0.329, 0.000], [0.329, 0.829, 0.000], [0.671, 0.171, 0.000], [0.829, 0.671, 0.000], [0.136, 0.636, 0.500], [0.364, 0.136, 0.500], [0.636, 0.864, 0.500], [0.864, 0.364, 0.500], [0.000, 0.000, 0.500], [0.500, 0.500, 0.500]],
  "n_ef_per_ev_cell": 1.1,
  "m_tot_mub_per_fu": 0.0,
  "crystal_system": "tetragonal",
  "delta_e_f_ev_per_atom": -0.955
}

---

6.
{
  "formula": "Be3TeAs",
  "functional": "PBE",
  "state": "optimized geometry",
  "cell": [[4.448, 0.000, 0.000], [0.000, 4.448, 0.000], [0.000, 0.000, 4.448]],
  "species": ["Be", "Be", "Be", "Te", "As"],
  "frac_coords": [[0.000, 0.000, 0.500], [0.000, 0.500, 0.000], [0.500, 0.000, 0.000], [0.500, 0.500, 0.500], [0.000, 0.000, 0.000]],
  "n_ef_per_ev_cell": 2.6,
  "m_tot_mub_per_fu": 0.0,
  "crystal_system": "cubic",
  "e_form_raw_ev_per_atom": 0.5807,
  "relative_energy_ev_per_fu": 0.00
}

---

7.
{
  "formula": "Dy4RhBr5",
  "functional": "PBE",
  "state": "optimized geometry",
  "cell": [[9.472, -1.977, 0.000], [9.472, 1.977, 0.000], [-1.814, 0.000, 8.341]],
  "species": ["Dy", "Dy", "Dy", "Dy", "Rh", "Br", "Br", "Br", "Br", "Br"],
  "frac_coords": [[0.003, 0.003, 0.215], [0.352, 0.352, 0.924], [0.648, 0.648, 0.076], [0.997, 0.997, 0.785], [0.500, 0.500, 0.000], [0.169, 0.169, 0.332], [0.181, 0.181, 0.844], [0.500, 0.500, 0.500], [0.819, 0.819, 0.156], [0.831, 0.831, 0.668]],
  "n_ef_per_ev_cell": 3.7,
  "m_tot_mub_per_fu": 0.0,
  "crystal_system": "monoclinic",
  "e_form_raw_ev_per_atom": -1.4349
}

---

8.
{
  "formula": "CuPbI4",
  "functional": "PBE",
  "state": "optimized geometry",
  "cell": [[8.929, -2.292, 0.000], [8.929, 2.292, 0.000], [-0.640, 0.000, 12.262]],
  "species": ["Cu", "Cu", "Pb", "Pb", "I", "I", "I", "I", "I", "I", "I", "I"],
  "frac_coords": [[0.058, 0.058, 0.366], [0.942, 0.942, 0.634], [0.308, 0.308, 0.856], [0.692, 0.692, 0.144], [0.085, 0.085, 0.580], [0.138, 0.138, 0.972], [0.209, 0.209, 0.337], [0.467, 0.467, 0.759], [0.533, 0.533, 0.241], [0.791, 0.791, 0.663], [0.862, 0.862, 0.028], [0.915, 0.915, 0.420]],
  "n_ef_per_ev_cell": 7.4,
  "m_tot_mub_per_fu": 0.7,
  "crystal_system": "monoclinic",
  "e_form_raw_ev_per_atom": -0.3231
}